[1]
# LiCaCd2Bi (PBE, relaxed)
data_LiCaCd2Bi
_cell_length_a 5.6584
_cell_length_b 5.6584
_cell_length_c 5.5075
_cell_angle_alpha 90.00
_cell_angle_beta 90.00
_cell_angle_gamma 90.00
_space_group_name_H-M_alt 'P 4/m m m'
_space_group_IT_number 123
_space_group_name_Hall '-P 4 2'
loop_
_atom_site_label
_atom_site_type_symbol
_atom_site_fract_x
_atom_site_fract_y
_atom_site_fract_z
Li1 Li 0.0000 0.0000 0.0000
Ca1 Ca 0.0000 0.0000 0.5000
Cd1 Cd 0.0000 0.5000 0.5000
Bi1 Bi 0.5000 0.5000 0.0000
# ΔH_f (0 K) = 58.5 kJ per mole of atoms


[2]
# CaLuCdBi (PBE, relaxed)
data_CaLuCdBi
_cell_length_a 7.6969
_cell_length_b 7.6969
_cell_length_c 7.6969
_cell_angle_alpha 90.00
_cell_angle_beta 90.00
_cell_angle_gamma 90.00
_space_group_name_H-M_alt 'F -4 3 m'
_space_group_IT_number 216
_space_group_name_Hall 'F -4 2 3'
loop_
_atom_site_label
_atom_site_type_symbol
_atom_site_fract_x
_atom_site_fract_y
_atom_site_fract_z
Ca1 Ca 0.0000 0.0000 0.0000
Lu1 Lu 0.0000 0.0000 0.5000
Cd1 Cd 0.2500 0.2500 0.2500
Bi1 Bi 0.2500 0.2500 0.7500
# ΔH_f (0 K) = -36.9 kJ per mole of atoms


Number 1: total magnetization 0.00 Bohr magnetons per cell, electronic total energy -6.595 eV per cell. Number 2: total magnetization 0.01 Bohr magnetons per cell, electronic total energy -51.388 eV per cell.